(1)
A relaxed structure of CaTa2Re. Source: Alexandria via LeMat-Bulk, functional GGA-PBE.

abc: 5.7519 5.7519 5.7519
angles: 146.81 130.70 60.73
With the nearest neighbours (Å) after each atom.
Positions (direct):
1 Ta 0.7552 0.2552 0.5000  4 Re 2.92, 2 Ca 3.18, 4 Ta 3.21-3.26
2 Ta 0.0335 0.0335 0.0000  2 Re 2.56
3 Re 0.2309 0.7309 0.5000  2 Ta 2.56
4 Ca 0.4805 0.4805 0.0000  8 Ta 2.95-3.28, 2 Re 2.97, 2 Ca 3.29

Output
Spin magnetization = 0.0 Bohr magnetons per cell
DFT formation energy = 0.4671 eV per atom
Volume = 19.56 Å³ per atom



(2)
A relaxed structure of KTcRu2. Source: Alexandria via LeMat-Bulk, functional GGA-PBE.

abc: 2.7388 2.7388 9.6016
angles: 90.00 90.00 90.00
With the nearest neighbours (Å) after each atom.
Positions (direct):
1 Ru 0.5000 0.5000 0.2431  8 Ru 2.64-2.74, 4 Tc 2.71
2 Ru 0.0000 0.0000 0.0559  8 Ru 2.64-2.74
3 Tc 0.0000 0.0000 0.4411  4 Ru 2.71, 4 Tc 2.74
4 K 0.5000 0.5000 0.7599  4 K 2.74

Output
Spin magnetization = 0.0 Bohr magnetons per cell
DFT formation energy = 0.8085 eV per atom
Volume = 18.01 Å³ per atom



| no. | DFT total energy (eV per atom) |
| --- | --- |
| 1 | -9.07 |
| 2 | -6.70 |